[1]
The following is a PBE calculation of a relaxed structure of K2TlPRu, from the Alexandria database.

Cell and atoms, written as CIF:
```
data_K2TlPRu
_symmetry_space_group_name_H-M 'P 4/m m m'
_symmetry_Int_Tables_number 123
_symmetry_space_group_name_Hall '-P 4 2'
_cell_length_a 6.181
_cell_length_b 6.181
_cell_length_c 4.427
_cell_angle_alpha 90.00
_cell_angle_beta 90.00
_cell_angle_gamma 90.00
loop_
_atom_site_label
_atom_site_type_symbol
_atom_site_fract_x
_atom_site_fract_y
_atom_site_fract_z
K1 K 0.000 0.500 0.000
Tl1 Tl 0.000 0.000 0.500
P1 P 0.500 0.500 0.000
Ru1 Ru 0.500 0.500 0.500
```


[2]
The following is a PBE calculation of a relaxed structure of CsZnGa2Os, from the Alexandria database.

Cell and atoms, written as CIF:
```
data_CsZnGa2Os
_symmetry_space_group_name_H-M 'P 4/m m m'
_symmetry_Int_Tables_number 123
_symmetry_space_group_name_Hall '-P 4 2'
_cell_length_a 4.935
_cell_length_b 4.935
_cell_length_c 5.125
_cell_angle_alpha 90.00
_cell_angle_beta 90.00
_cell_angle_gamma 90.00
loop_
_atom_site_label
_atom_site_type_symbol
_atom_site_fract_x
_atom_site_fract_y
_atom_site_fract_z
Cs1 Cs 0.000 0.000 0.000
Zn1 Zn 0.500 0.500 0.000
Ga1 Ga 0.000 0.500 0.500
Os1 Os 0.500 0.500 0.500
```


[3]
The following is a PBE calculation of a relaxed structure of KMgIn2, from the Alexandria database.

Cell and atoms, written as CIF:
```
data_KMgIn2
_symmetry_space_group_name_H-M 'P 4 m m'
_symmetry_Int_Tables_number 99
_cell_length_a 3.835
_cell_length_b 3.835
_cell_length_c 8.540
_cell_angle_alpha 90.00
_cell_angle_beta 90.00
_cell_angle_gamma 90.00
loop_
_symmetry_equiv_pos_as_xyz
'x,y,z'
'-y,x,z'
'-x,-y,z'
'y,-x,z'
'-x,y,z'
'y,x,z'
'x,-y,z'
'-y,-x,z'
loop_
_atom_site_label
_atom_site_type_symbol
_atom_site_fract_x
_atom_site_fract_y
_atom_site_fract_z
K1 K 0.000 0.000 0.000
Mg1 Mg 0.500 0.500 0.323
In1 In 0.000 0.000 0.495
In2 In 0.500 0.500 0.709
```


[4]
The following is a PBE calculation of a relaxed structure of Sc4TcBi, from the Alexandria database.

Cell and atoms, written as CIF:
```
data_Sc4TcBi
_symmetry_space_group_name_H-M 'P n m a'
_symmetry_Int_Tables_number 62
_cell_length_a 7.609
_cell_length_b 4.052
_cell_length_c 17.822
_cell_angle_alpha 90.00
_cell_angle_beta 90.00
_cell_angle_gamma 90.00
loop_
_symmetry_equiv_pos_as_xyz
'x,y,z'
'-x,-y,-z'
'-x+1/2,-y,z+1/2'
'x+1/2,y,-z+1/2'
'x+1/2,-y+1/2,-z+1/2'
'-x+1/2,y+1/2,z+1/2'
'-x,y+1/2,-z'
'x,-y+1/2,z'
loop_
_atom_site_label
_atom_site_type_symbol
_atom_site_fract_x
_atom_site_fract_y
_atom_site_fract_z
Sc1 Sc 0.007 0.250 0.063
Sc2 Sc 0.074 0.750 0.204
Sc3 Sc 0.114 0.750 0.638
Sc4 Sc 0.150 0.750 0.455
Tc1 Tc 0.249 0.750 0.060
Bi1 Bi 0.238 0.750 0.807
```


| no. | spin magnetization (μB/f.u.) | formation enthalpy at 0 K (eV per atom) | ρ (g/cm3) |
| --- | --- | --- | --- |
| 1 | 0.966 | 0.2314 | 4.1 |
| 2 | 0.000 | -0.0388 | 7.0 |
| 3 | 0.000 | 0.0019 | 3.9 |
| 4 | 0.000 | -0.3955 | 5.9 |